(1)
The following is a PBE calculation of a relaxed NiIrOs2 crystal, from Alexandria. Values from VASP.

```
&SYSTEM
  ibrav = 0, nat = 4, ntyp = 3
/
ATOMIC_SPECIES
Os 190.23 Os.upf
Ni 58.69 Ni.upf
Ir 192.22 Ir.upf
ATOMIC_POSITIONS crystal
Os 0.001 0.001 0.001
Ni 0.749 0.749 0.749
Ir 0.499 0.499 0.499
Os 0.251 0.251 0.251
CELL_PARAMETERS angstrom
-0.209 6.515 5.903
-2.756 6.702 4.984
-2.150 4.936 6.954
```

## Properties
DFT total energy ... -9.145 eV/atom
Energy relative to the elements ... 0.130 eV/atom
Symmetry ... R3m, No. 160

(2)
The following is a PBE calculation of a relaxed Ni3Ir3Os crystal, from Alexandria. Values from VASP.

```
&SYSTEM
  ibrav = 0, nat = 14, ntyp = 3
/
ATOMIC_SPECIES
Ir 192.22 Ir.upf
Ni 58.69 Ni.upf
Os 190.23 Os.upf
ATOMIC_POSITIONS crystal
Ir 0.750 0.539 0.912
Ni 0.250 0.186 0.230
Ni 0.250 0.770 0.957
Ir 0.250 0.628 0.539
Ni 0.750 0.814 0.770
Os 0.250 0.333 0.667
Ni 0.750 0.230 0.043
Ir 0.750 0.088 0.628
Os 0.750 0.667 0.333
Ni 0.750 0.957 0.186
Ni 0.250 0.043 0.814
Ir 0.250 0.912 0.372
Ir 0.250 0.461 0.088
Ir 0.750 0.372 0.461
CELL_PARAMETERS angstrom
-1.362 -2.066 -3.503
-2.667 -5.090 4.038
-3.951 5.542 -1.733
```

## Properties
DFT total energy ... -7.856 eV/atom
Energy relative to the elements ... 0.023 eV/atom
Symmetry ... P6_3/m, No. 176